ZnIn, relaxed, DFT PBE-GGA; total DFT energy (no corrections) = -1.89 eV/atom; ρ = 7.01 g/cm3
1.0
2.4485 4.1796 0.0000
-6.2498 6.3643 0.0000
0.0000 0.0000 5.1169
Zn In
5 5
Direct
0.4126 0.1659 0.0000
0.8426 0.6001 0.5000
0.6610 0.0342 0.5000
0.0952 0.1666 0.5000
0.9790 0.0335 0.0000
0.2350 0.8197 0.5000
0.8356 0.3712 0.0000
0.6120 0.8268 0.0000
0.4518 0.3822 0.5000
0.2083 0.5998 0.0000

---

ZnIn, relaxed, DFT PBE-GGA; total DFT energy (no corrections) = -1.90 eV/atom; ρ = 7.02 g/cm3
1.0
-3.8736 2.1334 1.6429
1.3424 -6.6936 11.8573
2.9698 3.9389 1.8873
Zn In
8 8
Direct
0.2882 0.2500 0.5000
0.5011 0.1542 0.0000
0.8325 0.8458 0.5000
0.3261 0.7500 0.5000
0.0074 0.2500 0.0000
0.0446 0.7500 0.0000
0.8325 0.6542 0.5000
0.5011 0.3458 0.0000
0.0129 0.0257 0.0000
0.3205 0.9743 0.5000
0.3205 0.5257 0.5000
0.5439 0.8692 0.0000
0.7893 0.1308 0.5000
0.7893 0.3692 0.5000
0.0129 0.4743 0.0000
0.5439 0.6308 0.0000

---

ZnIn, relaxed, DFT PBE-GGA; total DFT energy (no corrections) = -1.91 eV/atom; ρ = 6.95 g/cm3
1.0
5.6777 0.0000 0.0000
0.0000 11.9774 0.0000
0.0000 0.0000 5.0642
Zn In
8 8
Direct
0.4303 0.4864 0.5000
0.5470 0.6221 0.0000
0.9031 0.7636 0.0000
0.5470 0.1279 0.0000
0.7863 0.1220 0.5000
0.7863 0.6280 0.5000
0.4303 0.2636 0.5000
0.9031 0.9864 0.0000
0.7604 0.8750 0.5000
0.0674 0.2166 0.0000
0.3803 0.8750 0.0000
0.9531 0.3750 0.5000
0.5729 0.3750 0.0000
0.2659 0.7166 0.5000
0.2659 0.0334 0.5000
0.0674 0.5334 0.0000

---

Zn28In, relaxed, DFT PBE-GGA; total DFT energy (no corrections) = -1.26 eV/atom; ρ = 7.26 g/cm3
1.0
8.2167 1.2609 -0.5349
-3.3264 5.5552 5.2409
-1.4493 -7.7000 2.8285
Zn In
28 1
Direct
0.3145 0.0000 0.5840
0.0000 0.8081 0.6163
0.1919 0.3837 0.3837
0.3837 0.3837 0.1919
0.8081 0.6163 0.0000
0.0000 0.3688 0.0000
0.6312 0.6312 0.6312
0.8081 0.1919 0.1919
0.4160 0.4160 0.7305
0.6855 0.6855 0.2695
0.2695 0.6855 0.6855
0.6855 0.2695 0.6855
0.7305 0.4160 0.4160
0.8081 0.0000 0.6163
0.3688 0.0000 0.0000
0.1919 0.8081 0.1919
0.4160 0.7305 0.4160
0.6163 0.8081 0.0000
0.3837 0.1919 0.3837
0.0000 0.3145 0.5840
0.0000 0.0000 0.3688
0.1919 0.1919 0.8081
0.0000 0.6163 0.8081
0.0000 0.5840 0.3145
0.5840 0.0000 0.3145
0.5840 0.3145 0.0000
0.6163 0.0000 0.8081
0.3145 0.5840 0.0000
0.0000 0.0000 0.0000

---

ZnIn, relaxed, DFT PBE-GGA; total DFT energy (no corrections) = -1.90 eV/atom; ρ = 6.98 g/cm3
1.0
2.5656 4.4821 0.0000
-6.2206 6.6049 0.0000
0.0000 0.0000 4.7852
In Zn
5 5
Direct
0.8622 0.4128 0.0000
0.0828 0.1516 0.5000
0.5641 0.8016 0.0000
0.4345 0.4461 0.5000
0.4737 0.1898 0.0000
0.6860 0.9662 0.5000
0.8487 0.6341 0.5000
0.1608 0.6350 0.0000
0.9938 0.9647 0.0000
0.2265 0.7982 0.5000

---

Zr3Zn2In2, relaxed, DFT PBE-GGA; total DFT energy (no corrections) = -4.84 eV/atom; magnetic moment = 0.016 μB/f.u.; ρ = 6.69 g/cm3
1.0
1.6904 6.4419 5.1541
-3.0354 6.4766 4.4452
-1.1151 3.4466 7.6025
Zn Zr In
2 3 2
Direct
0.2453 0.2453 0.2453
0.7537 0.7537 0.7537
0.8754 0.8754 0.8754
0.3757 0.3757 0.3757
0.6233 0.6233 0.6233
0.0066 0.0066 0.0066
0.4950 0.4950 0.4950

---

ZrZnIn, relaxed, DFT PBE-GGA; total DFT energy (no corrections) = -4.48 eV/atom; magnetic moment = 0.005 μB/f.u.; ρ = 7.55 g/cm3
1.0
-3.5359 2.0217 5.5149
0.5093 -4.8876 -4.7809
2.7112 -2.2105 2.5487
In Zn Zr
2 2 2
Direct
0.8363 0.1637 0.0000
0.1637 0.8363 0.0000
0.5000 0.5000 0.0000
0.0000 0.0000 0.5000
0.3458 0.6542 0.5000
0.6542 0.3458 0.5000

---

ZrZnIn, relaxed, DFT PBE-GGA; total DFT energy (no corrections) = -3.90 eV/atom; magnetic moment = 0.005 μB/f.u.; ρ = 6.13 g/cm3
1.0
0.5085 -4.5968 -0.8506
-3.6063 -2.4881 -1.7079
0.1171 -1.5725 -4.4301
Zn In Zr
1 1 1
Direct
0.7500 0.7500 0.7500
0.2500 0.2500 0.2500
0.0000 0.0000 0.0000

---

Zr2In, relaxed, DFT PBE-GGA; total DFT energy (no corrections) = -6.61 eV/atom; magnetic moment = 0.008 μB/f.u.; ρ = 6.23 g/cm3
1.0
5.8383 0.0000 0.0000
0.0000 10.1635 0.0000
0.0000 0.0000 5.3389
In Zr
4 8
Direct
0.8495 0.1663 0.5000
0.9838 0.0004 0.0000
0.8495 0.5004 0.5000
0.9838 0.6663 0.0000
0.3843 0.3333 0.5000
0.4490 0.8333 0.0000
0.3292 0.0115 0.5000
0.0219 0.3333 0.0000
0.5041 0.5115 0.0000
0.8114 0.8333 0.5000
0.3292 0.6551 0.5000
0.5041 0.1551 0.0000

---

Zr2In, relaxed, DFT PBE-GGA; total DFT energy (no corrections) = -6.47 eV/atom; magnetic moment = 0.002 μB/f.u.; ρ = 7.08 g/cm3
1.0
0.0000 4.1160 4.1160
4.1160 0.0000 4.1160
4.1160 4.1160 0.0000
Zr In
4 2
Direct
0.6250 0.6250 0.6250
0.6250 0.6250 0.1250
0.6250 0.1250 0.6250
0.1250 0.6250 0.6250
0.0000 0.0000 0.0000
0.2500 0.2500 0.2500

---

Zr2In, relaxed, DFT PBE-GGA; total DFT energy (no corrections) = -6.75 eV/atom; magnetic moment = 0.002 μB/f.u.; ρ = 7.19 g/cm3
1.0
-2.7199 -4.2174 -2.4839
-2.2032 -4.1167 3.0907
-4.3301 2.5837 0.3546
Zr In
4 2
Direct
0.3037 0.6667 0.5000
0.6667 0.0296 0.5000
0.6667 0.6667 0.0000
0.0296 0.3037 0.5000
0.0000 0.0000 0.0000
0.3333 0.3334 0.0000

---

Ir, relaxed, DFT PBE-GGA; total DFT energy (no corrections) = -8.69 eV/atom; magnetic moment = 0.001 μB/f.u.; ρ = 16.69 g/cm3
1.0
-0.2377 2.1590 -1.6444
-2.5996 -0.6551 -0.4843
-11.7929 23.1089 32.0452
Ir
16
Direct
0.5000 0.0000 0.5702
0.5000 0.0000 0.4766
0.0000 0.5000 0.6172
0.5000 0.0000 0.3828
0.0000 0.5000 0.3359
0.5000 0.0000 0.1944
0.5000 0.0000 0.6641
0.5000 0.0000 0.2890
0.0000 0.5000 0.7110
0.5000 0.0000 0.7582
0.0000 0.5000 0.4298
0.5000 0.0000 0.8503
0.0000 0.5000 0.2418
0.0000 0.5000 0.8056
0.0000 0.5000 0.1497
0.0000 0.5000 0.5234